SmPuAgRh | GGA-PBE | optimized geometry

Values from the calculation:
electronic total energy	-7.593	eV/atom
DOS(E_F)	11.9	states/eV/cell
formation enthalpy at 0 K	-0.28	eV per atom
total magnetization	5.8	μB per formula unit

abc: 5.051 5.051 5.051
angles: 60.00 60.00 60.00
Fractional positions:
Rh (0.750, 0.750, 0.750)
Ag (0.250, 0.250, 0.250)
Sm (0.000, 0.000, 0.000)
Pu (0.500, 0.500, 0.500)

=====

Er5Cu4Tc | GGA-PBE | optimized geometry

Values from the calculation:
electronic total energy	-5.185	eV/atom
DOS(E_F)	6.5	states/eV/cell
formation enthalpy at 0 K	-0.23	eV per atom
total magnetization	0.0	μB per formula unit

abc: 3.415 3.415 17.301
angles: 90.00 90.00 90.00
Fractional positions:
Er (0.500, 0.500, 0.298)
Er (0.500, 0.500, 0.905)
Er (0.500, 0.500, 0.500)
Er (0.500, 0.500, 0.702)
Er (0.500, 0.500, 0.095)
Tc (0.000, 0.000, 0.000)
Cu (0.000, 0.000, 0.400)
Cu (0.000, 0.000, 0.600)
Cu (0.000, 0.000, 0.802)
Cu (0.000, 0.000, 0.198)

=====

ScNbNiIr | GGA-PBE | optimized geometry

Values from the calculation:
electronic total energy	-8.237	eV/atom
DOS(E_F)	4.3	states/eV/cell
formation enthalpy at 0 K	-0.48	eV per atom
total magnetization	0.0	μB per formula unit

abc: 4.498 4.498 4.498
angles: 60.00 60.00 60.00
Fractional positions:
Ir (0.750, 0.750, 0.750)
Ni (0.250, 0.250, 0.250)
Sc (0.500, 0.500, 0.500)
Nb (0.000, 0.000, 0.000)

=====

TeAsIr | GGA-PBE | optimized geometry

Values from the calculation:
electronic total energy	-5.979	eV/atom
DOS(E_F)	0.0	states/eV/cell
ΔE_f (raw)	-0.428	eV/atom
total magnetization	0.0	μB per formula unit

abc: 6.243 6.243 6.243
angles: 90.00 90.00 90.00
Fractional positions:
As (0.877, 0.123, 0.623)
As (0.377, 0.377, 0.377)
As (0.123, 0.623, 0.877)
As (0.623, 0.877, 0.123)
Te (0.877, 0.377, 0.123)
Te (0.623, 0.623, 0.623)
Te (0.377, 0.123, 0.877)
Te (0.123, 0.877, 0.377)
Ir (0.989, 0.989, 0.989)
Ir (0.011, 0.489, 0.511)
Ir (0.511, 0.011, 0.489)
Ir (0.489, 0.511, 0.011)

=====

Pu3MnGe3 | GGA-PBE | optimized geometry

Values from the calculation:
electronic total energy	-9.799	eV/atom
DOS(E_F)	50.1	states/eV/cell
energy above the most stable polymorph in this dataset	0	meV/atom
formation enthalpy at 0 K	-0.37	eV per atom
total magnetization	2.3	μB per formula unit

abc: 4.389 5.664 13.228
angles: 82.67 80.45 67.21
Fractional positions:
Mn (0.751, 0.091, 0.408)
Mn (0.249, 0.909, 0.592)
Pu (0.420, 0.247, 0.913)
Pu (0.240, 0.298, 0.223)
Pu (0.580, 0.753, 0.087)
Pu (0.533, 0.314, 0.620)
Pu (0.760, 0.702, 0.777)
Pu (0.467, 0.686, 0.380)
Ge (0.129, 0.810, 0.931)
Ge (0.871, 0.190, 0.069)
Ge (0.868, 0.716, 0.548)
Ge (0.059, 0.120, 0.762)
Ge (0.941, 0.880, 0.238)
Ge (0.132, 0.284, 0.452)

=====

HfSiO4 | GGA-PBE | optimized geometry

Values from the calculation:
electronic total energy	-8.780	eV/atom
DOS(E_F)	0.0	states/eV/cell
ΔE_f (raw)	-2.911	eV/atom
total magnetization	0.0	μB per formula unit

abc: 4.815 4.815 8.534
angles: 90.00 90.00 90.00
Fractional positions:
Hf (0.000, 0.000, 0.500)
Hf (0.000, 0.000, 0.000)
O (0.712, 0.830, 0.868)
O (0.288, 0.170, 0.868)
O (0.288, 0.830, 0.632)
O (0.830, 0.712, 0.368)
O (0.170, 0.712, 0.132)
O (0.170, 0.288, 0.368)
O (0.830, 0.288, 0.132)
O (0.712, 0.170, 0.632)
Si (0.500, 0.000, 0.750)
Si (0.000, 0.500, 0.250)